ZrOs2Ru: optimized geometry, PBE.

Cell lengths 4.017, 3.966, 3.966 Å; angles 90.00, 90.00, 90.00 degrees
Positions (direct):
Zr1 0.500 0.000 0.500
Os1 0.000 0.500 0.500
Os2 0.000 0.000 0.000
Ru1 0.500 0.500 0.000

Computed properties:
ΔE_f (eV per atom): -0.057
SG: P4/mmm (123)

=====

Sr2CdAu2: optimized geometry, PBE.

Cell lengths 4.027, 4.027, 9.653 Å; angles 77.96, 77.96, 90.00 degrees
Positions (direct):
Au1 0.250 0.750 0.500
Au2 0.750 0.250 0.500
Cd1 0.000 0.000 0.000
Sr1 0.614 0.614 0.772
Sr2 0.386 0.386 0.228

Computed properties:
ΔE_f (eV per atom): -0.424
SG: I4/mmm (139)

=====

TbPm2Te: optimized geometry, PBE.

Cell lengths 5.535, 5.535, 5.533 Å; angles 59.99, 59.99, 60.00 degrees
Last column: magnetic moment on the atom in μB.
Positions (direct):
Pm1 0.250 0.250 0.250  0.10
Te1 0.000 0.000 0.000  0.01
Pm2 0.750 0.750 0.750  0.10
Tb1 0.500 0.500 0.500  0.37

Computed properties:
Raw formation energy (kJ/mol of formula units): -96
SG: Fm-3m (225)

=====

Hf2Ga2P: optimized geometry, PBE.

Cell lengths 3.507, 3.507, 7.881 Å; angles 77.14, 77.14, 90.00 degrees
Positions (direct):
P1 0.000 0.000 0.000
Hf1 0.597 0.597 0.806
Ga1 0.750 0.250 0.500
Hf2 0.403 0.403 0.194
Ga2 0.250 0.750 0.500

Computed properties:
ΔE_f (eV per atom): -0.377
SG: I4/mmm (139)

=====

ZrAs2Br: optimized geometry, PBE.

Cell lengths 3.399, 3.399, 8.121 Å; angles 90.00, 90.00, 90.00 degrees
Positions (direct):
As1 0.000 0.000 0.980
As2 0.500 0.500 0.148
Br1 0.000 0.000 0.577
Zr1 0.500 0.500 0.795

Computed properties:
Raw formation energy (kJ/mol of formula units): -203
SG: P4mm (99)

=====

CaMnZn: optimized geometry, PBE.

Cell lengths 4.837, 4.837, 4.837 Å; angles 60.00, 60.00, 60.00 degrees
Last column: magnetic moment on the atom in μB.
Positions (direct):
Mn1 0.000 0.000 0.000  3.89
Ca1 0.750 0.750 0.750  -0.06
Zn1 0.500 0.500 0.500  -0.08

Computed properties:
ΔE_f (eV per atom): 0.800
SG: F-43m (216)

=====

AlZn2Rh: optimized geometry, PBE.

Cell lengths 4.916, 4.916, 4.621 Å; angles 65.89, 65.89, 34.65 degrees
Positions (direct):
Al1 0.510 0.510 0.417
Rh1 0.248 0.248 0.332
Zn1 0.749 0.749 0.817
Zn2 0.993 0.993 0.933

Computed properties:
ΔE_f (eV per atom): -0.397
SG: Cm (8)

=====

LiTbNpO6: optimized geometry, PBE.

Cell lengths 5.308, 5.308, 9.954 Å; angles 90.00, 90.00, 120.00 degrees
Last column: magnetic moment on the atom in μB.
Positions (direct):
O1 0.660 0.019 0.363  0.12
Tb1 0.000 0.000 0.500  0.01
Np1 0.667 0.333 0.250  0.00
Np2 0.333 0.667 0.750  0.00
O2 0.359 0.340 0.363  0.12
Li1 0.667 0.333 0.750  0.00
Tb2 0.000 0.000 0.000  0.01
O3 0.981 0.641 0.363  0.12
O4 0.660 0.641 0.137  0.12
O5 0.019 0.359 0.637  0.12
O6 0.359 0.019 0.137  0.12
O7 0.641 0.660 0.637  0.12
O8 0.340 0.981 0.637  0.12
O9 0.981 0.340 0.137  0.12
O10 0.340 0.359 0.863  0.12
O11 0.641 0.981 0.863  0.12
Li2 0.333 0.667 0.250  0.00
O12 0.019 0.660 0.863  0.12

Computed properties:
Raw formation energy (kJ/mol of formula units): -2184
SG: P-31c (163)

=====

MnSi2Ag2: optimized geometry, PBE.

Cell lengths 6.259, 6.259, 4.207 Å; angles 90.00, 90.00, 90.00 degrees
Last column: magnetic moment on the atom in μB.
Positions (direct):
Ag1 0.195 0.695 0.500  -0.01
Mn1 0.000 0.000 0.000  2.99
Si1 0.131 0.369 0.000  -0.06
Ag2 0.805 0.305 0.500  -0.01
Si2 0.631 0.131 0.000  -0.06
Ag3 0.305 0.195 0.500  -0.01
Si3 0.369 0.869 0.000  -0.06
Ag4 0.695 0.805 0.500  -0.01
Si4 0.869 0.631 0.000  -0.05
Mn2 0.500 0.500 0.000  3.00

Computed properties:
Raw formation energy (kJ/mol of formula units): 105
SG: P4/mbm (127)

=====

ZrW: optimized geometry, PBE.

Cell lengths 9.544, 4.817, 5.544 Å; angles 90.00, 90.00, 90.00 degrees
Positions (direct):
W1 0.250 0.000 0.750
Zr1 0.667 0.496 0.000
W2 0.750 0.000 0.250
W3 0.000 0.003 0.500
Zr2 0.333 0.496 0.000
W4 0.500 0.997 0.000
Zr3 0.500 0.315 0.500
W5 0.250 0.000 0.250
Zr4 0.167 0.504 0.500
W6 0.750 0.000 0.750
Zr5 0.833 0.504 0.500
Zr6 0.000 0.685 0.000

Computed properties:
ΔE_f (eV per atom): 0.450
SG: Pmmn (59)

=====

Pm9DyMg2: optimized geometry, PBE.

Cell lengths 5.039, 5.039, 15.201 Å; angles 90.00, 90.00, 90.00 degrees
Positions (direct):
Pm1 0.000 0.500 0.500
Pm2 0.500 0.000 0.500
Pm3 0.500 0.000 0.830
Mg1 0.000 0.000 0.663
Pm4 0.500 0.500 0.664
Mg2 0.000 0.000 0.337
Dy1 0.000 0.000 0.000
Pm5 0.000 0.500 0.170
Pm6 0.500 0.500 0.336
Pm7 0.500 0.500 0.000
Pm8 0.500 0.000 0.170
Pm9 0.000 0.500 0.830

Computed properties:
ΔE_f (eV per atom): 0.005
SG: P4/mmm (123)

=====

CaAl2InPb: optimized geometry, PBE.

Cell lengths 5.369, 5.924, 5.369 Å; angles 90.00, 90.00, 90.00 degrees
Positions (direct):
Pb1 0.000 0.000 0.000
Al1 0.500 0.000 0.000
Ca1 0.000 0.500 0.000
In1 0.500 0.500 0.500
Al2 0.000 0.000 0.500

Computed properties:
ΔE_f (eV per atom): 0.547
SG: P4/mmm (123)

=====

PaAlCuIr: optimized geometry, PBE.

Cell lengths 4.663, 4.663, 4.663 Å; angles 60.00, 60.00, 60.00 degrees
Positions (direct):
Ir1 0.500 0.500 0.500
Cu1 0.000 0.000 0.000
Al1 0.750 0.750 0.750
Pa1 0.250 0.250 0.250

Computed properties:
ΔE_f (eV per atom): -0.419
SG: F-43m (216)

=====

NbIr3F: optimized geometry, PBE.

Cell lengths 4.254, 4.254, 4.254 Å; angles 90.00, 90.00, 90.00 degrees
Positions (direct):
Nb1 0.500 0.500 0.500
Ir1 0.000 0.500 0.000
Ir2 0.500 0.000 0.000
F1 0.000 0.000 0.000
Ir3 0.000 0.000 0.500

Computed properties:
Raw formation energy (kJ/mol of formula units): 420
SG: Pm-3m (221)

=====

SrCu2GePd4: optimized geometry, PBE.

Cell lengths 4.312, 4.312, 9.234 Å; angles 76.50, 76.50, 60.00 degrees
Positions (direct):
Pd1 0.592 0.592 0.225
Pd2 0.134 0.134 0.597
Pd3 0.866 0.866 0.403
Sr1 0.000 0.000 0.000
Ge1 0.500 0.500 0.500
Cu1 0.241 0.241 0.276
Pd4 0.408 0.408 0.775
Cu2 0.759 0.759 0.724

Computed properties:
ΔE_f (eV per atom): -0.344
SG: R-3m (166)

=====

LuRuC2: optimized geometry, PBE.

Cell lengths 3.244, 3.244, 5.486 Å; angles 72.80, 72.80, 60.00 degrees
Positions (direct):
C1 0.263 0.263 0.212
C2 0.737 0.737 0.788
Ru1 0.000 0.000 0.000
Lu1 0.500 0.500 0.500

Computed properties:
ΔE_f (eV per atom): 0.135
SG: R-3m (166)

=====

LaSmDy3Sc: optimized geometry, PBE.

Cell lengths 5.023, 7.906, 10.068 Å; angles 90.00, 90.00, 108.52 degrees
Positions (direct):
La1 0.502 0.004 0.250
Sm1 0.000 0.000 0.500
Dy1 0.829 0.657 0.250
Sc1 0.830 0.660 0.750
Dy2 0.669 0.338 0.501
Dy3 0.331 0.662 0.499
Dy4 0.171 0.343 0.750
La2 0.498 0.996 0.750
Sc2 0.170 0.340 0.250
Dy5 0.331 0.662 0.001
Sm2 0.000 0.000 0.000
Dy6 0.669 0.338 0.999

Computed properties:
ΔE_f (eV per atom): 0.048
SG: Cmcm (63)

=====

PmHoErZn: optimized geometry, PBE.

Cell lengths 5.353, 5.353, 5.353 Å; angles 60.00, 60.00, 60.00 degrees
Positions (direct):
Pm1 0.250 0.250 0.250
Er1 0.500 0.500 0.500
Zn1 0.000 0.000 0.000
Ho1 0.750 0.750 0.750

Computed properties:
ΔE_f (eV per atom): 0.038
SG: F-43m (216)

=====

La3IrI: optimized geometry, PBE.

Cell lengths 5.695, 5.695, 5.695 Å; angles 90.00, 90.00, 90.00 degrees
Positions (direct):
Ir1 0.000 0.000 0.000
La1 0.000 0.000 0.500
I1 0.500 0.500 0.500
La2 0.000 0.500 0.000
La3 0.500 0.000 0.000

Computed properties:
Raw formation energy (kJ/mol of formula units): -260
SG: Pm-3m (221)

=====

CoSiP: optimized geometry, PBE.

Cell lengths 5.675, 5.855, 5.840 Å; angles 126.60, 90.00, 90.00 degrees
Positions (direct):
Si1 0.858 0.664 0.335
Co1 0.014 0.758 0.753
P1 0.118 0.836 0.164
Si2 0.142 0.336 0.665
Co2 0.514 0.242 0.747
Si3 0.358 0.336 0.165
P2 0.382 0.836 0.664
Si4 0.642 0.664 0.835
P3 0.882 0.164 0.836
Co3 0.986 0.242 0.247
P4 0.618 0.164 0.336
Co4 0.486 0.758 0.253

Computed properties:
Raw formation energy (kJ/mol of formula units): -118
SG: P2_1/c (14)